No. 1
VASP calculation (PBE-GGA) on a geometry-optimized PrDy5N6 structure.

Cell: 6.084 6.084 6.080 Å, 99.59 99.59 120.00°
Sites, in units of the cell vectors:
Pr  0.000  0.000  0.000
Dy  0.168  0.832  0.500
Dy  0.334  0.666  0.000
Dy  0.500  0.500  0.500
Dy  0.666  0.334  0.000
Dy  0.832  0.168  0.500
N  0.085  0.427  0.254
N  0.258  0.258  0.746
N  0.427  0.085  0.254
N  0.573  0.915  0.746
N  0.742  0.742  0.254
N  0.915  0.573  0.746

Uncorrected energy: -0.2974 Ha/atom
D(E_F): 0.33 states/eV/cell
Formation energy (no corrections): -1616 meV/atom
M_tot: 0.0 μB per cell


No. 2
VASP calculation (PBE-GGA) on a geometry-optimized HoGa4Cu2Ni structure.

Cell: 8.942 8.942 8.942 Å, 26.73 26.73 26.73°
Sites, in units of the cell vectors:
Ho  0.000  0.000  0.000
Ga  0.132  0.132  0.132
Ga  0.401  0.401  0.401
Ga  0.599  0.599  0.599
Ga  0.868  0.868  0.868
Cu  0.238  0.238  0.238
Cu  0.762  0.762  0.762
Ni  0.500  0.500  0.500

Uncorrected energy: -0.1530 Ha/atom
D(E_F): 2.75 states/eV/cell
Formation enthalpy at 0 K: -0.3320 eV per atom
M_tot: 0.0 μB per cell


No. 3
VASP calculation (PBE-GGA) on a geometry-optimized Pm2Zn4Cu3 structure.

Cell: 8.142 7.214 5.281 Å, 79.69 60.66 39.65°
Sites, in units of the cell vectors:
Pm  0.134  0.134  0.866
Pm  0.866  0.866  0.134
Zn  0.172  0.509  0.491
Zn  0.491  0.828  0.172
Zn  0.509  0.172  0.828
Zn  0.828  0.491  0.509
Cu  0.000  0.000  0.500
Cu  0.500  0.500  0.000
Cu  0.500  0.500  0.500

Uncorrected energy: -0.1182 Ha/atom
D(E_F): 3.18 states/eV/cell
Formation enthalpy at 0 K: -0.2288 eV per atom
ΔE to the lowest computed polymorph: 0.0 meV/atom
M_tot: 0.0 μB per cell


No. 4
VASP calculation (PBE-GGA) on a geometry-optimized Ge2SeS structure.

Cell: 4.809 4.809 4.809 Å, 60.00 60.00 60.00°
Sites, in units of the cell vectors:
Ge  0.250  0.250  0.250
Ge  0.750  0.750  0.750
Se  0.000  0.000  0.000
S  0.500  0.500  0.500

Uncorrected energy: -0.1484 Ha/atom
D(E_F): 2.11 states/eV/cell
Formation energy (no corrections): 174 meV/atom
ΔE to the lowest computed polymorph: 410.4 meV/atom
M_tot: 0.0 μB per cell


No. 5
VASP calculation (PBE-GGA) on a geometry-optimized La5Ho structure.

Cell: 5.263 11.079 7.335 Å, 90.00 90.00 90.00°
Sites, in units of the cell vectors:
La  0.250  0.080  0.123
La  0.250  0.084  0.625
La  0.250  0.416  0.625
La  0.250  0.420  0.123
La  0.250  0.750  0.627
La  0.750  0.250  0.373
La  0.750  0.580  0.877
La  0.750  0.584  0.375
La  0.750  0.916  0.375
La  0.750  0.920  0.877
Ho  0.250  0.750  0.124
Ho  0.750  0.250  0.876

Uncorrected energy: -0.1785 Ha/atom
D(E_F): 19.62 states/eV/cell
Formation enthalpy at 0 K: 0.0123 eV per atom
ΔE to the lowest computed polymorph: 0.0 meV/atom
M_tot: 0.0 μB per cell


No. 6
VASP calculation (PBE-GGA) on a geometry-optimized BeHgRu structure.

Cell: 4.240 4.240 4.240 Å, 60.00 60.00 60.00°
Sites, in units of the cell vectors:
Be  0.000  0.000  0.000
Hg  0.500  0.500  0.500
Ru  0.750  0.750  0.750

Uncorrected energy: -0.1308 Ha/atom
D(E_F): 4.93 states/eV/cell
Formation enthalpy at 0 K: 0.8760 eV per atom
ΔE to the lowest computed polymorph: 653.7 meV/atom
M_tot: 0.1 μB per cell


No. 7
VASP calculation (PBE-GGA) on a geometry-optimized LaPr5Bi6 structure.

Cell: 8.061 8.061 8.061 Å, 99.60 99.60 120.01°
Sites, in units of the cell vectors:
La  0.000  0.000  0.000
Pr  0.166  0.834  0.500
Pr  0.333  0.667  0.000
Pr  0.500  0.500  0.500
Pr  0.667  0.333  0.000
Pr  0.834  0.166  0.500
Bi  0.084  0.418  0.251
Bi  0.251  0.251  0.750
Bi  0.418  0.084  0.251
Bi  0.582  0.916  0.749
Bi  0.749  0.749  0.250
Bi  0.916  0.582  0.749

Uncorrected energy: -0.1955 Ha/atom
D(E_F): 1.78 states/eV/cell
Formation enthalpy at 0 K: -0.9770 eV per atom
M_tot: 0.0 μB per cell


No. 8
VASP calculation (PBE-GGA) on a geometry-optimized LaPmTl2Se4 structure.

Cell: 7.554 4.360 8.125 Å, 90.00 108.03 90.00°
Sites, in units of the cell vectors:
La  0.000  0.000  0.000
Pm  0.500  0.500  0.000
Tl  0.000  0.500  0.500
Tl  0.500  0.000  0.500
Se  0.242  0.500  0.211
Se  0.268  0.000  0.790
Se  0.732  0.000  0.210
Se  0.758  0.500  0.789

Uncorrected energy: -0.1824 Ha/atom
D(E_F): 0.00 states/eV/cell
Formation energy (no corrections): -1420 meV/atom
M_tot: 0.0 μB per cell


No. 9
VASP calculation (PBE-GGA) on a geometry-optimized CdInGa2Hg4 structure.

Cell: 6.258 3.847 8.573 Å, 90.00 105.75 90.00°
Sites, in units of the cell vectors:
Cd  0.000  0.000  0.000
In  0.500  0.500  0.000
Ga  0.000  0.500  0.500
Ga  0.500  0.000  0.500
Hg  0.239  0.000  0.734
Hg  0.255  0.500  0.265
Hg  0.745  0.500  0.735
Hg  0.761  0.000  0.266

Uncorrected energy: -0.0483 Ha/atom
D(E_F): 3.89 states/eV/cell
Formation enthalpy at 0 K: 0.0496 eV per atom
M_tot: 0.0 μB per cell


No. 10
VASP calculation (PBE-GGA) on a geometry-optimized Pr2Sm6Y3Ho structure.

Cell: 6.275 6.275 11.994 Å, 94.99 94.99 119.99°
Sites, in units of the cell vectors:
Pr  0.167  0.833  0.000
Pr  0.833  0.167  0.000
Sm  0.084  0.416  0.748
Sm  0.252  0.252  0.252
Sm  0.416  0.084  0.748
Sm  0.584  0.916  0.252
Sm  0.748  0.748  0.748
Sm  0.916  0.584  0.252
Y  0.000  0.000  0.500
Y  0.334  0.666  0.500
Y  0.666  0.334  0.500
Ho  0.500  0.500  0.000

Uncorrected energy: -0.1888 Ha/atom
D(E_F): 16.35 states/eV/cell
Formation enthalpy at 0 K: 0.0149 eV per atom
M_tot: 0.0 μB per cell


No. 11
VASP calculation (PBE-GGA) on a geometry-optimized La2MoW structure.

Cell: 3.238 4.239 7.201 Å, 90.00 100.13 90.00°
Sites, in units of the cell vectors:
La  0.000  0.000  0.000
La  0.313  0.500  0.657
Mo  0.457  0.500  0.257
W  0.815  0.000  0.399

Uncorrected energy: -0.2919 Ha/atom
D(E_F): 4.78 states/eV/cell
Formation enthalpy at 0 K: 0.4663 eV per atom
ΔE to the lowest computed polymorph: 174.8 meV/atom
M_tot: 0.0 μB per cell


No. 12
VASP calculation (PBE-GGA) on a geometry-optimized LiLaSn3 structure.

Cell: 5.066 5.066 5.066 Å, 90.00 90.00 90.00°
Sites, in units of the cell vectors:
Li  0.000  0.000  0.000
La  0.500  0.500  0.500
Sn  0.000  0.000  0.500
Sn  0.000  0.500  0.000
Sn  0.500  0.000  0.000

Uncorrected energy: -0.1490 Ha/atom
D(E_F): 3.07 states/eV/cell
Formation enthalpy at 0 K: -0.2846 eV per atom
ΔE to the lowest computed polymorph: 213.2 meV/atom
M_tot: 0.0 μB per cell